1.
# Nb4GaC2 | the Alexandria database | PBE | relaxed
data_Nb4GaC2
_chemical_formula_sum 'Nb12 Ga3 C6'
_cell_length_a 3.1599
_cell_length_b 3.1599
_cell_length_c 35.5363
_cell_angle_alpha 90.00
_cell_angle_beta 90.00
_cell_angle_gamma 120.00
_space_group_name_H-M_alt 'R -3 m'
_space_group_IT_number 166
_space_group_name_Hall '-R 3 2"'
loop_
_atom_site_label
_atom_site_fract_x
_atom_site_fract_y
_atom_site_fract_z
Nb1 0.0000 0.0000 0.1311
Nb2 0.0000 0.0000 0.2711
Ga1 0.0000 0.0000 0.0000
C1 0.0000 0.0000 0.4302
# **Calculated total energy**: -65.0 eV per formula unit
# **Density of states at the Fermi level**: 7.840 states/eV/cell
# **Total moment**: 0.000 μB/cell
# **Energy above the most stable polymorph in this dataset**: 0.025 eV/atom
# **Formation energy**: -3.29 eV/f.u.

---

2.
# Ac2HgO | the Alexandria database | PBE | relaxed
data_Ac2HgO
_chemical_formula_sum 'Ac6 Hg3 O3'
_cell_length_a 4.0304
_cell_length_b 4.0304
_cell_length_c 23.7494
_cell_angle_alpha 90.00
_cell_angle_beta 90.00
_cell_angle_gamma 120.00
_space_group_name_H-M_alt 'R -3 m'
_space_group_IT_number 166
_space_group_name_Hall '-R 3 2"'
loop_
_atom_site_label
_atom_site_fract_x
_atom_site_fract_y
_atom_site_fract_z
Ac1 0.0000 0.0000 0.2281
Hg1 0.0000 0.0000 0.0000
O1 0.0000 0.0000 0.5000
# **Calculated total energy**: -18.9 eV per formula unit
# **Density of states at the Fermi level**: 13.405 states/eV/cell
# **Total moment**: 1.832 μB/cell
# **Energy above the most stable polymorph in this dataset**: 0.228 eV/atom
# **Formation energy without anion corrections**: -1355 meV per atom

---

3.
# Li2FeRh | the Alexandria database | PBE | relaxed
data_Li2FeRh
_chemical_formula_sum 'Li8 Fe4 Rh4'
_cell_length_a 6.7357
_cell_length_b 6.7357
_cell_length_c 4.8892
_cell_angle_alpha 90.00
_cell_angle_beta 90.00
_cell_angle_gamma 90.00
_space_group_name_H-M_alt 'I -4 2 d'
_space_group_IT_number 122
_space_group_name_Hall 'I -4 2bw'
loop_
_atom_site_label
_atom_site_fract_x
_atom_site_fract_y
_atom_site_fract_z
Li1 0.2476 0.2500 0.1250
Fe1 0.0000 0.0000 0.5000
Rh1 0.0000 0.0000 0.0000
# **Calculated total energy**: -18.1 eV per formula unit
# **Density of states at the Fermi level**: 17.347 states/eV/cell
# **Total moment**: 14.359 μB/cell
# **Formation energy**: 1.52 eV/f.u.

---

4.
# BeRhF | the Alexandria database | PBE | relaxed
data_BeRhF
_chemical_formula_sum 'Be2 Rh2 F2'
_cell_length_a 2.5838
_cell_length_b 4.4162
_cell_length_c 7.6608
_cell_angle_alpha 96.43
_cell_angle_beta 90.09
_cell_angle_gamma 90.02
_space_group_name_H-M_alt 'P -1'
_space_group_IT_number 2
loop_
_space_group_symop_operation_xyz
'x,y,z'
'-x,-y,-z'
loop_
_atom_site_label
_atom_site_fract_x
_atom_site_fract_y
_atom_site_fract_z
Be1 0.2443 0.3307 0.2552
Rh1 0.2498 0.2538 0.5369
F1 0.2563 0.7185 0.8624
# **Calculated total energy**: -17.1 eV per formula unit
# **Density of states at the Fermi level**: 2.652 states/eV/cell
# **Total moment**: 0.000 μB/cell
# **Energy above the most stable polymorph in this dataset**: 0.046 eV/atom
# **Formation energy without anion corrections**: -1400 meV per atom

---

5.
# TlCuPd14 | the Alexandria database | PBE | relaxed
data_TlCuPd14
_chemical_formula_sum 'Tl2 Cu2 Pd28'
_cell_length_a 9.2276
_cell_length_b 5.6159
_cell_length_c 9.6904
_cell_angle_alpha 90.00
_cell_angle_beta 90.00
_cell_angle_gamma 90.00
_space_group_name_H-M_alt 'A m m 2'
_space_group_IT_number 38
loop_
_space_group_symop_operation_xyz
'x,y,z'
'-x,-y,z'
'-x,y,z'
'x,-y,z'
'x,y+1/2,z+1/2'
'-x,-y+1/2,z+1/2'
'-x,y+1/2,z+1/2'
'x,-y+1/2,z+1/2'
loop_
_atom_site_label
_atom_site_fract_x
_atom_site_fract_y
_atom_site_fract_z
Tl1 0.0000 0.0000 0.0000
Cu1 0.0000 0.0000 0.5004
Pd1 0.0000 0.2493 0.7503
Pd2 0.2472 0.0000 0.3346
Pd3 0.2498 0.2468 0.5834
Pd4 0.2537 0.0000 0.8325
Pd5 0.5000 0.0000 0.1670
Pd6 0.5000 0.0000 0.6665
Pd7 0.5000 0.2487 0.4168
# **Calculated total energy**: -79.7 eV per formula unit
# **Density of states at the Fermi level**: 61.772 states/eV/cell
# **Total moment**: 0.002 μB/cell
# **Formation energy**: -0.54 eV/f.u.

---

6.
# KH4 | the Alexandria database | PBE | relaxed
data_KH4
_chemical_formula_sum 'K1 H4'
_cell_length_a 5.0509
_cell_length_b 5.0509
_cell_length_c 5.0509
_cell_angle_alpha 90.00
_cell_angle_beta 90.00
_cell_angle_gamma 90.00
_space_group_name_H-M_alt 'P m -3 m'
_space_group_IT_number 221
_space_group_name_Hall '-P 4 2 3'
loop_
_atom_site_label
_atom_site_fract_x
_atom_site_fract_y
_atom_site_fract_z
K1 0.0000 0.0000 0.0000
H1 0.0000 0.0000 0.5000
H2 0.5000 0.5000 0.5000
# **Calculated total energy**: -7.8 eV per formula unit
# **Density of states at the Fermi level**: 0.954 states/eV/cell
# **Total moment**: 3.000 μB/cell
# **Energy above the most stable polymorph in this dataset**: 1.317 eV/atom

---

7.
# UNb2Rh | the Alexandria database | PBE | relaxed
data_UNb2Rh
_chemical_formula_sum 'U1 Nb2 Rh1'
_cell_length_a 3.9399
_cell_length_b 3.9399
_cell_length_c 4.8620
_cell_angle_alpha 90.00
_cell_angle_beta 90.00
_cell_angle_gamma 90.00
_space_group_name_H-M_alt 'P 4/m m m'
_space_group_IT_number 123
_space_group_name_Hall '-P 4 2'
loop_
_atom_site_label
_atom_site_fract_x
_atom_site_fract_y
_atom_site_fract_z
U1 0.0000 0.0000 0.0000
Nb1 0.0000 0.5000 0.5000
Rh1 0.5000 0.5000 0.0000
# **Calculated total energy**: -38.8 eV per formula unit
# **Density of states at the Fermi level**: 7.508 states/eV/cell
# **Total moment**: 1.580 μB/cell
# **Energy above the most stable polymorph in this dataset**: 0.000 eV/atom
# **Formation energy**: 0.03 eV/f.u.

---

8.
# Ce7Tc2Sn | the Alexandria database | PBE | relaxed
data_Ce7Tc2Sn
_chemical_formula_sum 'Ce14 Tc4 Sn2'
_cell_length_a 9.4016
_cell_length_b 12.7980
_cell_length_c 5.0231
_cell_angle_alpha 90.00
_cell_angle_beta 90.00
_cell_angle_gamma 90.00
_space_group_name_H-M_alt 'C m m m'
_space_group_IT_number 65
_space_group_name_Hall '-C 2 2'
loop_
_atom_site_label
_atom_site_fract_x
_atom_site_fract_y
_atom_site_fract_z
Ce1 0.0000 0.0000 0.0000
Ce2 0.0000 0.2274 0.5000
Ce3 0.1874 0.3899 0.0000
Tc1 0.0000 0.1966 0.0000
Sn1 0.0000 0.5000 0.5000
# **Calculated total energy**: -66.4 eV per formula unit
# **Density of states at the Fermi level**: 53.657 states/eV/cell
# **Total moment**: 7.851 μB/cell
# **Formation energy**: -0.18 eV/f.u.

---

What is the formula in the fifth record? TlCuPd14

---

What did the second record say?
# Ac2HgO | the Alexandria database | PBE | relaxed
data_Ac2HgO
_chemical_formula_sum 'Ac6 Hg3 O3'
_cell_length_a 4.0304
_cell_length_b 4.0304
_cell_length_c 23.7494
_cell_angle_alpha 90.00
_cell_angle_beta 90.00
_cell_angle_gamma 120.00
_space_group_name_H-M_alt 'R -3 m'
_space_group_IT_number 166
_space_group_name_Hall '-R 3 2"'
loop_
_atom_site_label
_atom_site_fract_x
_atom_site_fract_y
_atom_site_fract_z
Ac1 0.0000 0.0000 0.2281
Hg1 0.0000 0.0000 0.0000
O1 0.0000 0.0000 0.5000
# **Calculated total energy**: -18.9 eV per formula unit
# **Density of states at the Fermi level**: 13.405 states/eV/cell
# **Total moment**: 1.832 μB/cell
# **Energy above the most stable polymorph in this dataset**: 0.228 eV/atom
# **Formation energy without anion corrections**: -1355 meV per atom

---

Number 1 is which compound? Nb4GaC2